1.
This record from Alexandria via LeMat-Bulk describes Li2MoCl after structural relaxation. The functional is PBE-GGA.

magnetic moment = 0.2 μB/f.u.
distance to the lowest polymorph of the same formula = 0.058 eV/atom
final energy = -4.308 eV per atom
volume = 15.7 Å³/atom
SG = P4/mmm, No. 123
energy relative to the elements, uncorrected = -0.73 eV/f.u.

Lattice parameters (Å, degrees): 2.819 2.819 7.878 90.00 90.00 90.00
Positions (direct):
Li 0.000 0.000 0.194
Li 0.000 0.000 0.806
Mo 0.500 0.500 0.500
Cl 0.500 0.500 0.000

***

2.
This record from Alexandria via LeMat-Bulk describes Li3MoCl after structural relaxation. The functional is PBE-GGA.

magnetic moment = 4.3 μB/f.u.
distance to the lowest polymorph of the same formula = 0.000 eV/atom
final energy = -3.408 eV per atom
volume = 20.7 Å³/atom
SG = Pm-3m, No. 221
energy relative to the elements, uncorrected = 1.38 eV/f.u.

Lattice parameters (Å, degrees): 4.696 4.696 4.696 90.00 90.00 90.00
Positions (direct):
Li 0.000 0.000 0.500
Li 0.000 0.500 0.000
Li 0.500 0.000 0.000
Mo 0.500 0.500 0.500
Cl 0.000 0.000 0.000

***

3.
This record from Alexandria via LeMat-Bulk describes Li2Mo2Cl7 after structural relaxation. The functional is PBE-GGA.

magnetic moment = 3.0 μB/f.u.
final energy = -4.432 eV per atom
volume = 24.4 Å³/atom
SG = C2/c, No. 15
energy relative to the elements, uncorrected = -10.34 eV/f.u.

Lattice parameters (Å, degrees): 6.469 6.469 13.006 96.43 96.43 90.42
Positions (direct):
Li 0.001 0.558 0.714
Li 0.442 0.999 0.786
Li 0.558 0.001 0.214
Li 0.999 0.442 0.286
Mo 0.029 0.198 0.993
Mo 0.198 0.029 0.493
Mo 0.802 0.971 0.507
Mo 0.971 0.802 0.007
Cl 0.035 0.155 0.644
Cl 0.128 0.527 0.116
Cl 0.155 0.035 0.144
Cl 0.231 0.352 0.425
Cl 0.327 0.673 0.750
Cl 0.352 0.231 0.925
Cl 0.473 0.872 0.384
Cl 0.527 0.128 0.616
Cl 0.648 0.769 0.075
Cl 0.673 0.327 0.250
Cl 0.769 0.648 0.575
Cl 0.845 0.965 0.856
Cl 0.872 0.473 0.884
Cl 0.965 0.845 0.356

***

4.
This record from Alexandria via LeMat-Bulk describes LiMo3Cl after structural relaxation. The functional is PBE-GGA.

magnetic moment = 0.0 μB/f.u.
distance to the lowest polymorph of the same formula = 0.783 eV/atom
final energy = -5.392 eV per atom
volume = 16.2 Å³/atom
SG = Pm-3m, No. 221
energy relative to the elements, uncorrected = 9.29 eV/f.u.

Lattice parameters (Å, degrees): 4.331 4.331 4.331 90.00 90.00 90.00
Positions (direct):
Li 0.000 0.000 0.000
Mo 0.000 0.000 0.500
Mo 0.000 0.500 0.000
Mo 0.500 0.000 0.000
Cl 0.500 0.500 0.500

***

5.
This record from Alexandria via LeMat-Bulk describes LiMo2Cl8 after structural relaxation. The functional is PBE-GGA.

magnetic moment = 5.0 μB/f.u.
final energy = -4.316 eV per atom
volume = 34.3 Å³/atom
SG = C2/m, No. 12
energy relative to the elements, uncorrected = -9.13 eV/f.u.

Lattice parameters (Å, degrees): 7.878 7.878 6.432 96.62 96.62 72.86
Positions (direct):
Li 0.000 0.000 0.000
Mo 0.190 0.190 0.659
Mo 0.810 0.810 0.341
Cl 0.084 0.726 0.205
Cl 0.183 0.183 0.301
Cl 0.274 0.916 0.795
Cl 0.369 0.369 0.752
Cl 0.631 0.631 0.248
Cl 0.726 0.084 0.205
Cl 0.817 0.817 0.699
Cl 0.916 0.274 0.795

***

6.
This record from Alexandria via LeMat-Bulk describes Li2MoCl after structural relaxation. The functional is PBE-GGA.

magnetic moment = 0.3 μB/f.u.
distance to the lowest polymorph of the same formula = 0.000 eV/atom
final energy = -4.366 eV per atom
volume = 15.8 Å³/atom
SG = R-3m, No. 166
energy relative to the elements, uncorrected = -0.96 eV/f.u.

Lattice parameters (Å, degrees): 8.501 8.501 8.501 20.07 20.07 20.07
Positions (direct):
Li 0.232 0.232 0.232
Li 0.768 0.768 0.768
Mo 0.000 0.000 0.000
Cl 0.500 0.500 0.500